Version a
A plane-wave DFT calculation with PBE-GGA was carried out for an optimized crystal structure of Al5Cd3.

abc: 6.016 6.016 4.285
angles: 90.00 90.00 90.96
Sites, in units of the cell vectors:
Al (0.000, 0.000, 0.000)
Al (0.000, 0.500, 0.000)
Al (0.240, 0.240, 0.500)
Al (0.500, 0.000, 0.000)
Al (0.760, 0.760, 0.500)
Cd (0.248, 0.752, 0.500)
Cd (0.500, 0.500, 0.000)
Cd (0.752, 0.248, 0.500)

## Properties
The density of states at the Fermi level comes out at 3.047 states/eV per cell.

***

Version b
A plane-wave DFT calculation with PBE-GGA was carried out for an optimized crystal structure of Al5Cd3.

abc: 8.559 8.559 5.099
angles: 90.00 90.00 120.00
Sites, in units of the cell vectors:
Al (0.000, 0.188, 0.250)
Al (0.000, 0.812, 0.750)
Al (0.188, 0.000, 0.250)
Al (0.188, 0.188, 0.750)
Al (0.333, 0.667, 0.000)
Al (0.333, 0.667, 0.500)
Al (0.667, 0.333, 0.000)
Al (0.667, 0.333, 0.500)
Al (0.812, 0.000, 0.750)
Al (0.812, 0.812, 0.250)
Cd (0.000, 0.398, 0.750)
Cd (0.000, 0.602, 0.250)
Cd (0.398, 0.000, 0.750)
Cd (0.398, 0.398, 0.250)
Cd (0.602, 0.000, 0.250)
Cd (0.602, 0.602, 0.750)

## Properties
The density of states at the Fermi level comes out at 5.524 states/eV per cell.

***

Version c
A plane-wave DFT calculation with PBE-GGA was carried out for an optimized crystal structure of Al5Cd3.

abc: 8.435 8.435 8.113
angles: 95.94 95.94 142.99
Sites, in units of the cell vectors:
Al (0.000, 0.000, 0.000)
Al (0.028, 0.303, 0.828)
Al (0.204, 0.481, 0.195)
Al (0.303, 0.028, 0.828)
Al (0.481, 0.204, 0.195)
Al (0.508, 0.508, 0.022)
Al (0.519, 0.699, 0.737)
Al (0.699, 0.519, 0.737)
Al (0.808, 0.989, 0.285)
Al (0.989, 0.808, 0.285)
Cd (0.050, 0.050, 0.602)
Cd (0.455, 0.455, 0.420)
Cd (0.540, 0.968, 0.511)
Cd (0.549, 0.961, 0.011)
Cd (0.961, 0.549, 0.011)
Cd (0.968, 0.540, 0.511)

## Properties
The density of states at the Fermi level comes out at 4.926 states/eV per cell.

***

Which structure is the most stable? The one labeled version a.